(1)
The following is a DFT calculation (PBE) of a relaxed ScTaRu2 crystal.

Output
Space-group type: P2/m
Calculated volume, A^3/atom: 16.7
Magnetization, μB per formula unit: 0.000
DFT formation energy, meV per atom: -147
Uncorrected energy, eV per atom: -9.33
N(E_F), states/eV/f.u.: 3.3

a b c (Å): 4.4978 3.0471 5.3646
angles (deg): 90.00 114.70 90.00
Element x y z (fractional)
Sc (0.0000, 0.0000, 0.0000)
Ta (0.5000, 0.5000, 0.5000)
Ru (0.0000, 0.0000, 0.5000)
Ru (0.5000, 0.5000, 0.0000)

(2)
The following is a DFT calculation (PBE) of a relaxed Sc2TaRu crystal.

Output
Space-group type: Fm-3m
Calculated volume, A^3/atom: 18.6
Magnetization, μB per formula unit: 2.731
DFT formation energy, meV per atom: 112
Uncorrected energy, eV per atom: -8.34
N(E_F), states/eV/f.u.: 5.0

a b c (Å): 4.7206 4.7206 4.7206
angles (deg): 60.00 60.00 60.00
Element x y z (fractional)
Sc (0.2500, 0.2500, 0.2500)
Sc (0.7500, 0.7500, 0.7500)
Ta (0.0000, 0.0000, 0.0000)
Ru (0.5000, 0.5000, 0.5000)

(3)
The following is a DFT calculation (PBE) of a relaxed ScTaRu2 crystal.

Output
Space-group type: P4/mmm
Calculated volume, A^3/atom: 16.1
Magnetization, μB per formula unit: 0.000
DFT formation energy, meV per atom: -604
Uncorrected energy, eV per atom: -9.79
N(E_F), states/eV/f.u.: 0.9

a b c (Å): 4.5107 4.5107 3.1695
angles (deg): 90.00 90.00 90.00
Element x y z (fractional)
Sc (0.0000, 0.0000, 0.0000)
Ta (0.5000, 0.5000, 0.0000)
Ru (0.0000, 0.5000, 0.5000)
Ru (0.5000, 0.0000, 0.5000)